VASP calculation (PBE) on a relaxed PrSm4Co4 crystal.

Geometry as POSCAR:
```
PrSm4Co4
1.0
-2.033 -3.912 -3.621
7.493 0.004 -4.210
2.889 -6.256 5.136
Sm Co Pr
8 8 2
direct
0.383 0.311 0.924
0.117 0.811 0.424
0.383 0.689 0.076
0.117 0.189 0.576
0.883 0.424 0.189
0.617 0.924 0.689
0.617 0.076 0.311
0.883 0.576 0.811
0.638 0.766 0.360
0.138 0.860 0.734
0.862 0.266 0.860
0.862 0.734 0.140
0.362 0.640 0.766
0.138 0.140 0.266
0.362 0.360 0.234
0.638 0.234 0.640
0.000 0.000 0.000
0.500 0.500 0.500
```

- symmetry = P4_2/n (86)
- V (Å³ per atom) = 23.414
- uncorrected energy (eV per cell) = -103.8



VASP calculation (PBE) on a relaxed Pr8SmCo2 crystal.

Geometry as POSCAR:
```
Pr8SmCo2
1.0
7.272 -0.864 -0.656
-1.311 7.457 0.376
-1.311 2.370 7.080
Co Pr Sm
2 8 1
direct
0.609 0.808 0.808
0.391 0.192 0.192
0.177 0.326 0.326
0.823 0.674 0.674
0.315 0.416 0.810
0.315 0.810 0.416
0.685 0.190 0.584
0.688 0.127 0.127
0.685 0.584 0.190
0.312 0.873 0.873
0.000 0.000 0.000
```

- symmetry = C2/m (12)
- V (Å³ per atom) = 33.226
- uncorrected energy (eV per cell) = -56.0



VASP calculation (PBE) on a relaxed PrCo2Sn4 crystal.

Geometry as POSCAR:
```
PrCo2Sn4
1.0
-3.859 -0.581 -2.048
-3.179 -0.983 6.271
-3.336 18.117 1.148
Pr Sn Co
4 16 8
direct
0.750 0.492 0.141
0.750 0.008 0.641
0.250 0.992 0.359
0.250 0.508 0.859
0.250 0.362 0.028
0.750 0.714 0.300
0.250 0.214 0.200
0.250 0.286 0.700
0.250 0.490 0.431
0.250 0.010 0.931
0.750 0.990 0.069
0.250 0.701 0.680
0.750 0.638 0.972
0.250 0.138 0.528
0.750 0.862 0.472
0.750 0.786 0.800
0.750 0.201 0.820
0.750 0.510 0.569
0.750 0.299 0.320
0.250 0.799 0.180
0.250 0.748 0.535
0.750 0.252 0.465
0.250 0.511 0.287
0.750 0.248 0.965
0.250 0.989 0.787
0.250 0.752 0.035
0.750 0.489 0.713
0.750 0.011 0.213
```

- symmetry = Pnma (62)
- V (Å³ per atom) = 20.625
- uncorrected energy (eV per cell) = -148.7



VASP calculation (PBE) on a relaxed Pr12Co5Sn crystal.

Geometry as POSCAR:
```
Pr12Co5Sn
1.0
-6.664 5.226 -1.847
5.340 -0.521 -6.808
-2.815 -8.001 1.789
Co Pr Sn
5 12 1
direct
0.000 0.000 0.000
0.500 0.111 0.611
0.382 0.382 0.000
0.500 0.889 0.389
0.618 0.618 0.000
0.693 0.685 0.378
0.886 0.187 0.699
0.114 0.813 0.301
0.811 0.612 0.802
0.189 0.991 0.802
0.693 0.315 0.008
0.307 0.315 0.622
0.511 0.813 0.699
0.489 0.187 0.301
0.307 0.685 0.992
0.189 0.388 0.198
0.811 0.009 0.198
0.000 0.500 0.500
```

- symmetry = Immm (71)
- V (Å³ per atom) = 27.836
- uncorrected energy (eV per cell) = -99.5



VASP calculation (PBE) on a relaxed PrCo6Sn12 crystal.

Geometry as POSCAR:
```
PrCo6Sn12
1.0
-0.719 -7.189 -2.682
4.988 3.531 -4.694
3.559 -0.617 6.807
Sn Pr Co
12 1 6
direct
0.500 0.121 0.879
0.121 0.879 0.500
0.411 0.411 0.153
0.589 0.589 0.847
0.500 0.879 0.121
0.879 0.500 0.121
0.879 0.121 0.500
0.121 0.500 0.879
0.153 0.411 0.411
0.411 0.153 0.411
0.589 0.847 0.589
0.847 0.589 0.589
0.000 0.000 0.000
0.699 0.275 0.275
0.275 0.699 0.275
0.725 0.725 0.301
0.301 0.725 0.725
0.275 0.275 0.699
0.725 0.301 0.725
```

- symmetry = R-3m (166)
- V (Å³ per atom) = 20.576
- uncorrected energy (eV per cell) = -94.8



VASP calculation (PBE) on a relaxed Pr2CoSn crystal.

Geometry as POSCAR:
```
Pr2CoSn
1.0
3.525 0.000 0.000
0.000 3.525 0.000
0.000 0.000 8.187
Sn Co Pr
1 1 2
direct
0.500 0.500 0.500
0.500 0.500 0.000
0.000 0.000 0.788
0.000 0.000 0.212
```

- symmetry = P4/mmm (123)
- V (Å³ per atom) = 25.436
- uncorrected energy (eV per cell) = -21.8



VASP calculation (PBE) on a relaxed Pr5Co2Sn crystal.

Geometry as POSCAR:
```
Pr5Co2Sn
1.0
7.167 0.000 -3.383
-1.597 6.987 -3.383
-0.172 -0.216 8.919
Pr Co Sn
10 4 2
direct
0.474 0.293 0.267
0.707 0.207 0.733
0.500 0.500 0.000
0.793 0.974 0.267
0.207 0.026 0.733
0.974 0.474 0.267
0.026 0.526 0.733
0.000 0.000 0.000
0.293 0.793 0.267
0.526 0.707 0.733
0.364 0.864 0.000
0.636 0.136 0.000
0.864 0.636 0.000
0.136 0.364 0.000
0.750 0.750 0.500
0.250 0.250 0.500
```

- symmetry = I4/mcm (140)
- V (Å³ per atom) = 27.261
- uncorrected energy (eV per cell) = -88.0



VASP calculation (PBE) on a relaxed Pr8CoSn2 crystal.

Geometry as POSCAR:
```
Pr8CoSn2
1.0
5.420 0.000 0.000
0.000 6.913 -0.256
-2.710 -3.258 9.110
Sn Pr Co
2 8 1
direct
0.828 0.283 0.656
0.172 0.717 0.344
0.412 0.573 0.823
0.784 0.702 0.569
0.992 0.218 0.983
0.216 0.298 0.431
0.356 0.036 0.713
0.644 0.964 0.287
0.588 0.427 0.177
0.008 0.782 0.017
0.500 0.000 0.000
```

- symmetry = C2/m (12)
- V (Å³ per atom) = 30.618
- uncorrected energy (eV per cell) = -56.4



Question: What is the uncorrected energy in the sixth record?
Answer: -21.8 eV per cell